The following is a meta-GGA SCAN calculation of a crystal of Mg2MoRu relaxed with PBEsol, from Alexandria.

Unit cell a=4.4288 b=4.4288 c=4.4288 alpha=60.00 beta=60.00 gamma=60.00
Element x y z (fractional)
Mg  0.0000  0.0000  0.0000
Mg  0.2500  0.2500  0.2500
Mo  0.5000  0.5000  0.5000
Ru  0.7500  0.7500  0.7500

Output
As for the density of states at the Fermi level: 0.1087 states/eV/atom. Its polymorph energy (0 for the lowest one) is 56.2 meV per atom. For the magnetization, the calculation gives 0.00 μB/cell. As for the uncorrected energy: -19.893 eV/atom. The formation energy from the elements comes out at 0.02 eV/atom. The space group is No. 216.


The following is a meta-GGA SCAN calculation of a crystal of BeRePb2 relaxed with PBEsol, from Alexandria.

Unit cell a=4.7022 b=4.7022 c=3.3833 alpha=90.00 beta=90.00 gamma=90.15
Element x y z (fractional)
Be  0.0000  0.0000  0.0000
Re  0.5000  0.5000  0.0000
Pb  0.0000  0.5000  0.5000
Pb  0.5000  0.0000  0.5000

Output
As for the density of states at the Fermi level: 0.8457 states/eV/atom. For the magnetization, the calculation gives 0.00 μB/cell. As for the uncorrected energy: -55.578 eV/atom. The formation energy from the elements comes out at 1.18 eV/atom. The space group is No. 65.


The following is a meta-GGA SCAN calculation of a crystal of Mn2TlAs relaxed with PBEsol, from Alexandria.

Unit cell a=5.3109 b=5.3109 c=5.3109 alpha=137.59 beta=137.59 gamma=61.53
Element x y z (fractional)
Mn  0.0000  0.0000  0.0000
Mn  0.7500  0.2500  0.5000
Tl  0.5000  0.5000  0.0000
As  0.2500  0.7500  0.5000

Output
As for the density of states at the Fermi level: 0.3286 states/eV/atom. Its polymorph energy (0 for the lowest one) is 0.0 meV per atom. For the magnetization, the calculation gives 7.75 μB/cell. As for the uncorrected energy: -32.246 eV/atom. The formation energy from the elements comes out at 0.02 eV/atom. The space group is No. 119.


The following is a meta-GGA SCAN calculation of a crystal of LiAu2 relaxed with PBEsol, from Alexandria.

Unit cell a=7.5630 b=7.5630 c=2.8066 alpha=90.00 beta=90.00 gamma=120.00
Element x y z (fractional)
Li  0.0000  0.0000  0.0000
Li  0.3333  0.6667  0.5000
Li  0.6667  0.3333  0.5000
Au  0.0000  0.3572  0.0000
Au  0.0000  0.6922  0.5000
Au  0.3078  0.3078  0.5000
Au  0.3572  0.0000  0.0000
Au  0.6428  0.6428  0.0000
Au  0.6922  0.0000  0.5000

Output
As for the density of states at the Fermi level: 0.2004 states/eV/atom. For the magnetization, the calculation gives 0.00 μB/cell. As for the uncorrected energy: -47.354 eV/atom. The formation energy from the elements comes out at -0.45 eV/atom. The space group is No. 189.